This record from the Alexandria database describes a geometry-optimized Pr2Sm6Dy3Tm structure. The functional is PBE.

Properties
* total magnetization: 0.000 μB per formula unit
* ΔH_f (0 K): 16 meV per atom
* electronic total energy: -55.96 eV/cell

Cell lengths 6.250, 6.250, 11.967 Å; angles 94.99, 94.99, 119.98 degrees
Fractional positions:
1 Pr 0.333 0.667 0.000
2 Pr 0.667 0.333 0.000
3 Sm 0.916 0.584 0.747
4 Sm 0.753 0.753 0.253
5 Sm 0.084 0.416 0.253
6 Sm 0.584 0.916 0.747
7 Sm 0.247 0.247 0.747
8 Sm 0.416 0.084 0.253
9 Dy 0.166 0.834 0.500
10 Dy 0.834 0.166 0.500
11 Dy 0.500 0.500 0.500
12 Tm 0.000 0.000 0.000

This record from the Alexandria database describes a geometry-optimized SmZrGaTc structure. The functional is PBE.

Properties
* total magnetization: 0.000 μB per formula unit
* ΔH_f (0 K): -211 meV per atom
* electronic total energy: -27.50 eV/cell

Cell lengths 4.882, 4.882, 4.882 Å; angles 60.00, 60.00, 60.00 degrees
Fractional positions:
1 Zr 0.500 0.500 0.500
2 Ga 0.250 0.250 0.250
3 Tc 0.750 0.750 0.750
4 Sm 0.000 0.000 0.000

This record from the Alexandria database describes a geometry-optimized Pm12InSi6 structure. The functional is PBE.

Properties
* total magnetization: 0.000 μB per formula unit
* ΔE_f (raw): -0.541 eV/atom
* electronic total energy: -102.56 eV/cell

Cell lengths 8.856, 8.856, 8.856 Å; angles 109.47, 109.47, 109.47 degrees
Fractional positions:
1 Pm 0.297 0.110 0.812
2 Pm 0.297 0.485 0.188
3 Pm 0.703 0.515 0.812
4 Pm 0.703 0.890 0.188
5 Pm 0.110 0.812 0.297
6 Pm 0.485 0.188 0.297
7 Pm 0.515 0.812 0.703
8 Pm 0.890 0.188 0.703
9 Pm 0.812 0.297 0.110
10 Pm 0.188 0.297 0.485
11 Pm 0.812 0.703 0.515
12 Pm 0.188 0.703 0.890
13 In 0.000 0.000 0.000
14 Si 0.385 0.500 0.885
15 Si 0.615 0.500 0.115
16 Si 0.500 0.885 0.385
17 Si 0.500 0.115 0.615
18 Si 0.885 0.385 0.500
19 Si 0.115 0.615 0.500

This record from the Alexandria database describes a geometry-optimized TaCr3Co structure. The functional is PBE.

Properties
* total magnetization: 0.000 μB per formula unit
* ΔH_f (0 K): 1066 meV per atom
* excess energy over the best structure of this formula in the dataset: 0 meV per atom
* electronic total energy: -42.50 eV/cell

Cell lengths 4.189, 4.189, 4.189 Å; angles 90.00, 90.00, 90.00 degrees
Fractional positions:
1 Cr 0.000 0.500 0.000
2 Cr 0.000 0.000 0.500
3 Cr 0.500 0.000 0.000
4 Co 0.000 0.000 0.000
5 Ta 0.500 0.500 0.500